# 1
Material: Be2HPd8
Method: DFT, PBE
State: relaxed

abc: 7.1070 7.1070 5.2392
angles: 105.60 105.60 34.99
Last column: nearest neighbours and their distance in Å.
Positions (direct):
Be: 0.1642 0.1642 0.1505  3 Pd 2.23-2.31
Be: 0.8358 0.8358 0.8495  3 Pd 2.23-2.31
H: 0.5000 0.5000 0.5000  2 Pd 1.72
Pd: 0.0341 0.0341 0.7796  1 Be 2.23
Pd: 0.2035 0.2035 0.5946  1 Be 2.24
Pd: 0.3296 0.3296 0.1100  3 Be 2.31-2.55
Pd: 0.4118 0.4118 0.6809  1 H 1.72
Pd: 0.5882 0.5882 0.3191  1 H 1.72
Pd: 0.6704 0.6704 0.8900  3 Be 2.31-2.55
Pd: 0.7965 0.7965 0.4054  1 Be 2.24
Pd: 0.9659 0.9659 0.2204  1 Be 2.23

Properties
The density of states at the Fermi level is 6.6 states/eV per cell. The value obtained for the energy relative to the lowest polymorph listed for this composition is 27 kJ/mol of formula units. As for the symmetry: C2/m (12). The value obtained for the total energy is -4.93 eV/atom.


# 2
Material: Be2HPd4
Method: DFT, PBE
State: relaxed

abc: 5.8838 6.1844 6.2067
angles: 89.24 62.03 61.94
Last column: nearest neighbours and their distance in Å.
Positions (direct):
Be: 0.0000 0.0000 0.0000  6 Pd 2.22-2.28
Be: 0.0000 0.0000 0.5000  6 Pd 2.22-2.24
Be: 0.5000 0.0000 0.0000  6 Pd 2.22-2.28
Be: 0.5000 0.5000 0.0000  6 Pd 2.22-2.24
H: 0.2505 0.3811 0.6169  4 Pd 1.83-1.85
H: 0.7495 0.6189 0.3831  4 Pd 1.83-1.85
Pd: 0.0004 0.2568 0.7464  1 H 1.83
Pd: 0.9996 0.7432 0.2536  1 H 1.83
Pd: 0.0095 0.7315 0.7465  1 H 1.85
Pd: 0.4906 0.2531 0.2686  1 H 1.85
Pd: 0.4996 0.2539 0.7429  1 H 1.83
Pd: 0.5004 0.7461 0.2571  1 H 1.83
Pd: 0.5094 0.7469 0.7314  1 H 1.85
Pd: 0.9905 0.2685 0.2535  1 H 1.85

Properties
The density of states at the Fermi level is 1.6 states/eV per cell. As for the symmetry: P-1 (2). The value obtained for the total energy is -4.78 eV/atom.


# 3
Material: Be2HPd
Method: DFT, PBE
State: relaxed

abc: 4.9246 4.9246 4.9246
angles: 44.10 44.10 44.10
Last column: nearest neighbours and their distance in Å.
Positions (direct):
Be: 0.1072 0.1072 0.1072  1 H 1.43
Be: 0.8928 0.8928 0.8928  1 H 1.43
H: 0.0000 0.0000 0.0000  2 Be 1.43
Pd: 0.5000 0.5000 0.5000  6 Be 2.28

Properties
The density of states at the Fermi level is 0.9 states/eV per cell. The value obtained for the energy relative to the lowest polymorph listed for this composition is 96 kJ/mol of formula units. As for the symmetry: R-3m (166). The value obtained for the total energy is -3.77 eV/atom.


# 4
Material: BeHPd3
Method: DFT, PBE
State: relaxed

abc: 2.8817 5.7336 7.0486
angles: 88.59 89.73 75.66
Last column: nearest neighbours and their distance in Å.
Positions (direct):
Be: 0.1008 0.2948 0.0446  7 Pd 2.29-2.39, 1 Be 2.35
Be: 0.8992 0.7052 0.9554  7 Pd 2.29-2.39, 1 Be 2.35
H: 0.3469 0.8291 0.3784  3 Pd 1.83-1.98
H: 0.6531 0.1709 0.6216  3 Pd 1.83-1.98
Pd: 0.1193 0.2442 0.4697  2 H 1.83-1.84
Pd: 0.2644 0.9822 0.8231  2 H 2.23-2.30, 3 Be 2.29-2.36
Pd: 0.4703 0.5570 0.2021  1 H 1.98
Pd: 0.5297 0.4430 0.7979  1 H 1.98
Pd: 0.7356 0.0178 0.1769  2 H 2.23-2.30, 3 Be 2.29-2.36
Pd: 0.8807 0.7558 0.5303  2 H 1.83-1.84

Properties
The density of states at the Fermi level is 3.2 states/eV per cell. The value obtained for the energy relative to the lowest polymorph listed for this composition is 17 kJ/mol of formula units. As for the symmetry: P-1 (2). The value obtained for the total energy is -4.84 eV/atom.


# 5
Material: BeH2Pd4
Method: DFT, PBE
State: relaxed

abc: 5.7344 5.7344 6.0016
angles: 106.42 106.42 114.02
Last column: nearest neighbours and their distance in Å.
Positions (direct):
Be: 0.1247 0.8753 0.5000  4 Pd 2.21-2.23
Be: 0.8753 0.1247 0.0000  4 Pd 2.21-2.23
H: 0.0058 0.4972 0.7398  4 Pd 1.87-1.98
H: 0.4972 0.0058 0.2398  4 Pd 1.87-1.98
H: 0.5078 0.5157 0.2593  4 Pd 1.87-1.98
H: 0.5157 0.5078 0.7593  4 Pd 1.87-1.98
Pd: 0.1786 0.2719 0.7653  2 H 1.87-1.93
Pd: 0.2573 0.6637 0.2360  2 H 1.87-1.94
Pd: 0.2719 0.1786 0.2653  2 H 1.87-1.93
Pd: 0.3398 0.8496 0.8567  2 H 1.88-1.98
Pd: 0.6637 0.2573 0.7360  2 H 1.87-1.94
Pd: 0.7332 0.7430 0.6424  2 H 1.88-1.98
Pd: 0.7430 0.7332 0.1424  2 H 1.88-1.98
Pd: 0.8496 0.3398 0.3567  2 H 1.88-1.98

Properties
The density of states at the Fermi level is 4.0 states/eV per cell. As for the symmetry: Cc (9). The value obtained for the total energy is -4.64 eV/atom.


# 6
Material: Be2HPd6
Method: DFT, PBE
State: relaxed

abc: 5.0062 5.0062 7.6644
angles: 90.62 90.62 34.83
Last column: nearest neighbours and their distance in Å.
Positions (direct):
Be: 0.2444 0.2444 0.2602  7 Pd 2.30-2.55
Be: 0.7556 0.7556 0.7398  7 Pd 2.30-2.55
H: 0.0000 0.0000 0.0000  6 Pd 2.04-2.06
Pd: 0.0726 0.0726 0.7508  1 H 2.04
Pd: 0.3610 0.3610 0.9353  2 H 2.06
Pd: 0.3647 0.3647 0.5594  3 Be 2.30-2.55
Pd: 0.6353 0.6353 0.4406  3 Be 2.30-2.55
Pd: 0.6390 0.6390 0.0647  2 H 2.06
Pd: 0.9274 0.9274 0.2492  1 H 2.04

Properties
The density of states at the Fermi level is 3.6 states/eV per cell. The value obtained for the energy relative to the lowest polymorph listed for this composition is 0 kJ/mol of formula units. As for the symmetry: C2/m (12). The value obtained for the total energy is -5.00 eV/atom.


# 7
Material: BeHPd3
Method: DFT, PBE
State: relaxed

abc: 3.8933 3.8933 3.8933
angles: 90.00 90.00 90.00
Last column: nearest neighbours and their distance in Å.
Positions (direct):
Be: 0.0000 0.0000 0.0000  12 Pd 2.75
H: 0.5000 0.5000 0.5000  6 Pd 1.95
Pd: 0.0000 0.5000 0.5000  2 H 1.95
Pd: 0.5000 0.0000 0.5000  2 H 1.95
Pd: 0.5000 0.5000 0.0000  2 H 1.95

Properties
The density of states at the Fermi level is 3.8 states/eV per cell. The value obtained for the energy relative to the lowest polymorph listed for this composition is 92 kJ/mol of formula units. As for the symmetry: Pm-3m (221). The value obtained for the total energy is -4.69 eV/atom.


# 8
Material: BeH5Pd8
Method: DFT, PBE
State: relaxed

abc: 5.7589 5.7589 5.7589
angles: 107.02 107.02 114.49
Last column: nearest neighbours and their distance in Å.
Positions (direct):
Be: 0.0000 0.0000 0.0000  4 Pd 2.13
H: 0.1459 0.5029 0.9037  3 Pd 1.84-1.89
H: 0.2500 0.7500 0.5000  4 Pd 2.00
H: 0.4971 0.4008 0.6430  3 Pd 1.84-1.89
H: 0.5992 0.2422 0.0963  3 Pd 1.84-1.89
H: 0.7578 0.8541 0.3570  3 Pd 1.84-1.89
Pd: 0.3125 0.1213 0.7461  3 H 1.89-2.00
Pd: 0.3752 0.5663 0.2539  3 H 1.89-2.00
Pd: 0.3959 0.0597 0.2488  1 H 1.84
Pd: 0.4337 0.6875 0.8088  3 H 1.89-2.00
Pd: 0.8109 0.1471 0.7512  1 H 1.84
Pd: 0.8529 0.6041 0.6638  1 H 1.84
Pd: 0.8787 0.6248 0.1912  3 H 1.89-2.00
Pd: 0.9403 0.1891 0.3362  1 H 1.84

Properties
The density of states at the Fermi level is 3.3 states/eV per cell. As for the symmetry: I-4 (82). The value obtained for the total energy is -4.53 eV/atom.


# 9
Material: Be2HPd8
Method: DFT, PBE
State: relaxed

abc: 8.0733 8.0733 2.7755
angles: 99.81 99.81 54.60
Last column: nearest neighbours and their distance in Å.
Positions (direct):
Be: 0.2385 0.2385 0.2407  8 Pd 2.37-2.49
Be: 0.7615 0.7615 0.7593  8 Pd 2.37-2.49
H: 0.0000 0.0000 0.0000  4 Pd 1.97
Pd: 0.0991 0.0991 0.5984  2 H 1.97
Pd: 0.1401 0.5212 0.8317  3 Be 2.37-2.49
Pd: 0.3256 0.6744 0.5000  9 Pd 2.58-2.79, 2 H 2.78
Pd: 0.4788 0.8599 0.1683  3 Be 2.37-2.49
Pd: 0.5212 0.1401 0.8317  3 Be 2.37-2.49
Pd: 0.6744 0.3256 0.5000  9 Pd 2.58-2.79, 2 H 2.78
Pd: 0.8599 0.4788 0.1683  3 Be 2.37-2.49
Pd: 0.9009 0.9009 0.4016  2 H 1.97

Properties
The density of states at the Fermi level is 7.6 states/eV per cell. The value obtained for the energy relative to the lowest polymorph listed for this composition is 0 kJ/mol of formula units. As for the symmetry: C2/m (12). The value obtained for the total energy is -4.95 eV/atom.


# 10
Material: Be2HPd
Method: DFT, PBE
State: relaxed

abc: 2.6415 2.6415 5.3581
angles: 90.00 90.00 90.00
Last column: nearest neighbours and their distance in Å.
Positions (direct):
Be: 0.0000 0.0000 0.2128  4 H 2.19, 1 Be 2.28, 4 Pd 2.42
Be: 0.0000 0.0000 0.7872  4 H 2.19, 1 Be 2.28, 4 Pd 2.42
H: 0.5000 0.5000 0.0000  8 Be 2.19
Pd: 0.5000 0.5000 0.5000  8 Be 2.42, 4 Pd 2.64, 2 H 2.68

Properties
The density of states at the Fermi level is 0.5 states/eV per cell. The value obtained for the energy relative to the lowest polymorph listed for this composition is 81 kJ/mol of formula units. As for the symmetry: P4/mmm (123). The value obtained for the total energy is -3.80 eV/atom.